The following is a PBE calculation of a relaxed Cs2CeGaBr6 crystal, from Alexandria.

Calculated values
* energy relative to the elements, uncorrected: -1.581 eV per atom
* SG: Pmmn, No. 59
* E_tot: -0.2683 Ry/atom

abc: 8.402 8.426 11.895
angles: 90.00 90.00 90.00
Each line ends with the local moment (μB).
Atoms (fractional coordinates):
1 Cs 0.500 0.758 0.248  0.00
2 Cs 0.000 0.242 0.748  0.00
3 Cs 0.500 0.758 0.752  0.00
4 Cs 0.000 0.242 0.252  0.00
5 Ce 0.500 0.246 0.500  0.98
6 Ce 0.000 0.754 0.000  0.98
7 Ga 0.000 0.745 0.500  0.00
8 Ga 0.500 0.255 0.000  0.00
9 Br 0.500 0.243 0.256  -0.01
10 Br 0.500 0.243 0.744  -0.01
11 Br 0.000 0.757 0.244  -0.01
12 Br 0.000 0.757 0.756  -0.01
13 Br 0.257 0.001 0.500  -0.01
14 Br 0.743 0.001 0.500  -0.01
15 Br 0.254 0.488 0.500  -0.01
16 Br 0.746 0.488 0.500  -0.01
17 Br 0.754 0.512 0.000  -0.01
18 Br 0.246 0.512 0.000  -0.01
19 Br 0.243 0.999 0.000  -0.01
20 Br 0.757 0.999 0.000  -0.01

The following is a PBE calculation of a relaxed Li2TlPO4 crystal, from Alexandria.

Calculated values
* energy relative to the elements, uncorrected: -2.006 eV per atom
* SG: I-42m, No. 121
* E_tot: -0.4362 Ry/atom

abc: 5.254 5.254 5.254
angles: 119.20 119.20 91.39
Atoms (fractional coordinates):
1 Li 0.750 0.250 0.500
2 Li 0.250 0.750 0.500
3 Tl 0.500 0.500 0.000
4 P 0.000 0.000 0.000
5 O 0.705 0.705 0.665
6 O 0.960 0.295 0.000
7 O 0.295 0.960 0.000
8 O 0.040 0.040 0.335

The following is a PBE calculation of a relaxed MgHg2PtSe crystal, from Alexandria.

Calculated values
* energy relative to the elements, uncorrected: 0.120 eV per atom
* SG: P4/mmm, No. 123
* E_tot: -0.1635 Ry/atom

abc: 5.267 5.038 5.267
angles: 90.00 90.00 90.00
Atoms (fractional coordinates):
1 Mg 0.500 0.500 0.500
2 Se 0.000 0.500 0.000
3 Hg 0.000 0.000 0.500
4 Hg 0.500 0.000 0.000
5 Pt 0.000 0.000 0.000